The following is a PBE-GGA calculation of a relaxed Zr4CdAu5 crystal, from Alexandria via LeMat-Bulk.

The structure in POSCAR format:
```
Zr4CdAu5
1.0
-2.271 -2.201 -0.501
1.820 -1.365 -2.254
8.134 -11.464 13.510
Zr Cd Au
4 1 5
Direct
0.000 0.000 0.198
0.000 0.000 0.399
0.000 0.000 0.601
0.000 0.000 0.802
0.000 0.000 0.000
0.500 0.500 0.101
0.500 0.500 0.299
0.500 0.500 0.500
0.500 0.500 0.701
0.500 0.500 0.899
```

Calculated values
DFT total energy (eV/atom): -5.5812
Space group: P4/mmm
Formation enthalpy at 0 K (eV/atom): -0.4317
Volume (Å³ per atom): 19.99